Entry 1:
A relaxed structure of ZrTlCdPd. Source: Alexandria via LeMat-Bulk, functional GGA-PBE.

abc: 6.880 6.880 6.880
angles: 90.00 90.00 90.00
Positions (direct):
Zr (0.000, 0.000, 0.000)
Zr (0.000, 0.500, 0.500)
Zr (0.500, 0.000, 0.500)
Zr (0.500, 0.500, 0.000)
Tl (0.250, 0.250, 0.750)
Tl (0.250, 0.750, 0.250)
Tl (0.750, 0.250, 0.250)
Tl (0.750, 0.750, 0.750)
Cd (0.000, 0.000, 0.500)
Cd (0.000, 0.500, 0.000)
Cd (0.500, 0.000, 0.000)
Cd (0.500, 0.500, 0.500)
Pd (0.250, 0.250, 0.250)
Pd (0.250, 0.750, 0.750)
Pd (0.750, 0.250, 0.750)
Pd (0.750, 0.750, 0.250)

Properties
SG: F-43m
Energy of formation from the pure elements in eV/atom: -0.188

Entry 2:
A relaxed structure of Tb2TmSc4. Source: Alexandria via LeMat-Bulk, functional GGA-PBE.

abc: 6.357 8.030 8.722
angles: 65.63 72.09 77.57
Positions (direct):
Tb (0.000, 0.000, 0.000)
Tb (0.034, 0.187, 0.268)
Tb (0.744, 0.041, 0.693)
Tb (0.851, 0.431, 0.711)
Tm (0.142, 0.575, 0.286)
Tm (0.885, 0.616, 0.980)
Sc (0.189, 0.763, 0.548)
Sc (0.284, 0.142, 0.568)
Sc (0.329, 0.338, 0.832)
Sc (0.412, 0.710, 0.855)
Sc (0.472, 0.905, 0.125)
Sc (0.555, 0.281, 0.147)
Sc (0.600, 0.477, 0.409)
Sc (0.695, 0.851, 0.431)

Properties
Energy relative to the lowest polymorph listed for this composition in eV per atom: 0.000
SG: P1
Energy of formation from the pure elements in eV/atom: 0.021

Entry 3:
A relaxed structure of CsCaAu2. Source: Alexandria via LeMat-Bulk, functional GGA-PBE.

abc: 5.071 5.071 19.493
angles: 90.00 90.00 120.00
Positions (direct):
Cs (0.000, 0.000, 0.000)
Cs (0.333, 0.667, 0.667)
Cs (0.667, 0.333, 0.333)
Ca (0.000, 0.000, 0.500)
Ca (0.333, 0.667, 0.167)
Ca (0.667, 0.333, 0.833)
Au (0.000, 0.000, 0.198)
Au (0.000, 0.000, 0.802)
Au (0.333, 0.667, 0.468)
Au (0.333, 0.667, 0.865)
Au (0.667, 0.333, 0.135)
Au (0.667, 0.333, 0.532)

Properties
Energy relative to the lowest polymorph listed for this composition in eV per atom: 0.067
SG: R-3m
Energy of formation from the pure elements in eV/atom: -0.461

Entry 4:
A relaxed structure of BaFe2Cl. Source: Alexandria via LeMat-Bulk, functional GGA-PBE.

abc: 5.125 5.125 7.233
angles: 90.00 90.00 90.00
Positions (direct):
Ba (0.000, 0.000, 0.000)
Ba (0.500, 0.500, 0.500)
Fe (0.000, 0.000, 0.500)
Fe (0.000, 0.500, 0.750)
Fe (0.500, 0.000, 0.250)
Fe (0.500, 0.500, 0.000)
Cl (0.000, 0.500, 0.250)
Cl (0.500, 0.000, 0.750)

Properties
Energy relative to the lowest polymorph listed for this composition in eV per atom: 0.491
SG: I-4m2
Raw formation energy in eV/atom: 0.47

Entry 5:
A relaxed structure of DyMg3Tl2F12. Source: Alexandria via LeMat-Bulk, functional GGA-PBE.

abc: 6.685 6.685 6.685
angles: 67.60 67.60 67.60
Positions (direct):
Dy (0.000, 0.000, 0.000)
Mg (0.000, 0.000, 0.500)
Mg (0.000, 0.500, 0.000)
Mg (0.500, 0.000, 0.000)
Tl (0.394, 0.394, 0.394)
Tl (0.606, 0.606, 0.606)
F (0.102, 0.748, 0.748)
F (0.150, 0.150, 0.585)
F (0.150, 0.585, 0.150)
F (0.252, 0.252, 0.898)
F (0.252, 0.898, 0.252)
F (0.415, 0.850, 0.850)
F (0.585, 0.150, 0.150)
F (0.748, 0.102, 0.748)
F (0.748, 0.748, 0.102)
F (0.850, 0.415, 0.850)
F (0.850, 0.850, 0.415)
F (0.898, 0.252, 0.252)

Properties
SG: R-3m
Raw formation energy in eV/atom: -3.09

Entry 6:
A relaxed structure of Rb2HF5. Source: Alexandria via LeMat-Bulk, functional GGA-PBE.

abc: 5.695 5.740 5.995
angles: 87.06 66.26 61.93
Positions (direct):
Rb (0.000, 0.000, 0.000)
Rb (0.031, 0.463, 0.474)
H (0.495, 0.624, 0.424)
F (0.024, 0.966, 0.500)
F (0.417, 0.900, 0.455)
F (0.549, 0.433, 0.439)
F (0.611, 0.561, 0.952)
F (0.975, 0.512, 0.977)

Properties
SG: P1

Entry 7:
A relaxed structure of MnZn2Tc. Source: Alexandria via LeMat-Bulk, functional GGA-PBE.

abc: 2.719 2.719 26.419
angles: 90.00 90.00 120.00
Positions (direct):
Mn (0.000, 0.000, 0.000)
Mn (0.333, 0.667, 0.667)
Mn (0.667, 0.333, 0.333)
Zn (0.000, 0.000, 0.251)
Zn (0.000, 0.000, 0.749)
Zn (0.333, 0.667, 0.415)
Zn (0.333, 0.667, 0.918)
Zn (0.667, 0.333, 0.082)
Zn (0.667, 0.333, 0.585)
Tc (0.000, 0.000, 0.500)
Tc (0.333, 0.667, 0.167)
Tc (0.667, 0.333, 0.833)

Properties
Energy relative to the lowest polymorph listed for this composition in eV per atom: 0.146
SG: R-3m
Energy of formation from the pure elements in eV/atom: 0.152

Entry 8:
A relaxed structure of AlInFe. Source: Alexandria via LeMat-Bulk, functional GGA-PBE.

abc: 2.991 2.991 6.585
angles: 90.00 90.00 120.00
Positions (direct):
Al (0.000, 0.000, 0.000)
In (0.333, 0.667, 0.615)
Fe (0.667, 0.333, 0.282)

Properties
SG: P3m1
Energy of formation from the pure elements in eV/atom: 0.199

Entry 9:
A relaxed structure of Ti3Mn4Tc. Source: Alexandria via LeMat-Bulk, functional GGA-PBE.

abc: 2.962 2.962 11.937
angles: 90.00 90.00 90.00
Positions (direct):
Ti (0.000, 0.000, 0.000)
Ti (0.000, 0.000, 0.248)
Ti (0.000, 0.000, 0.752)
Mn (0.500, 0.500, 0.127)
Mn (0.500, 0.500, 0.378)
Mn (0.500, 0.500, 0.622)
Mn (0.500, 0.500, 0.873)
Tc (0.000, 0.000, 0.500)

Properties
SG: P4/mmm
Energy of formation from the pure elements in eV/atom: -0.199

Entry 10:
A relaxed structure of Hf2ZrBeFe. Source: Alexandria via LeMat-Bulk, functional GGA-PBE.

abc: 4.769 4.769 3.933
angles: 90.00 90.00 90.00
Positions (direct):
Hf (0.000, 0.500, 0.000)
Hf (0.500, 0.000, 0.000)
Zr (0.000, 0.000, 0.500)
Be (0.500, 0.500, 0.000)
Fe (0.500, 0.500, 0.500)

Properties
SG: P4/mmm
Energy of formation from the pure elements in eV/atom: 0.360

Entry 11:
A relaxed structure of LiY2Si. Source: Alexandria via LeMat-Bulk, functional GGA-PBE.

abc: 3.596 4.334 6.173
angles: 90.00 90.00 90.00
Positions (direct):
Li (0.000, 0.000, 0.000)
Y (0.000, 0.000, 0.445)
Y (0.500, 0.500, 0.777)
Si (0.500, 0.500, 0.273)

Properties
SG: Pmm2
Raw formation energy in eV/atom: -0.12

Entry 12:
A relaxed structure of Ti3NO. Source: Alexandria via LeMat-Bulk, functional GGA-PBE.

abc: 4.068 4.068 4.068
angles: 90.00 90.00 90.00
Positions (direct):
Ti (0.000, 0.000, 0.500)
Ti (0.000, 0.500, 0.000)
Ti (0.500, 0.000, 0.000)
N (0.000, 0.000, 0.000)
O (0.500, 0.500, 0.500)

Properties
Energy relative to the lowest polymorph listed for this composition in eV per atom: 1.254
SG: Pm-3m
Raw formation energy in eV/atom: -0.52

Entry 13:
A relaxed structure of Be2TlAs2O6. Source: Alexandria via LeMat-Bulk, functional GGA-PBE.

abc: 4.969 5.472 6.354
angles: 106.93 95.29 109.91
Positions (direct):
Be (0.153, 0.158, 0.423)
Be (0.847, 0.842, 0.577)
Tl (0.500, 0.000, 0.000)
As (0.257, 0.644, 0.290)
As (0.743, 0.356, 0.710)
O (0.006, 0.196, 0.651)
O (0.050, 0.291, 0.249)
O (0.499, 0.763, 0.551)
O (0.501, 0.237, 0.449)
O (0.950, 0.709, 0.751)
O (0.994, 0.804, 0.349)

Properties
SG: P-1
Raw formation energy in eV/atom: -1.58

Entry 14:
A relaxed structure of Pr3Tl2Cd4. Source: Alexandria via LeMat-Bulk, functional GGA-PBE.

abc: 7.808 7.808 4.672
angles: 90.00 90.00 120.00
Positions (direct):
Pr (0.000, 0.421, 0.000)
Pr (0.421, 0.000, 0.000)
Pr (0.579, 0.579, 0.000)
Tl (0.333, 0.667, 0.500)
Tl (0.667, 0.333, 0.500)
Cd (0.000, 0.000, 0.000)
Cd (0.000, 0.761, 0.500)
Cd (0.239, 0.239, 0.500)
Cd (0.761, 0.000, 0.500)

Properties
Energy relative to the lowest polymorph listed for this composition in eV per atom: 0.000
SG: P-62m
Energy of formation from the pure elements in eV/atom: -0.366

Entry 15:
A relaxed structure of Ca3InNi. Source: Alexandria via LeMat-Bulk, functional GGA-PBE.

abc: 5.375 5.375 5.375
angles: 90.00 90.00 90.00
Positions (direct):
Ca (0.000, 0.000, 0.500)
Ca (0.000, 0.500, 0.000)
Ca (0.500, 0.000, 0.000)
In (0.500, 0.500, 0.500)
Ni (0.000, 0.000, 0.000)

Properties
Energy relative to the lowest polymorph listed for this composition in eV per atom: 0.000
SG: Pm-3m
Energy of formation from the pure elements in eV/atom: -0.115

Entry 16:
A relaxed structure of P2PtOF. Source: Alexandria via LeMat-Bulk, functional GGA-PBE.

abc: 4.206 4.206 3.784
angles: 90.00 90.00 90.00
Positions (direct):
P (0.000, 0.500, 0.000)
P (0.500, 0.000, 0.000)
Pt (0.000, 0.000, 0.500)
O (0.500, 0.500, 0.500)
F (0.500, 0.500, 0.000)

Properties
Energy relative to the lowest polymorph listed for this composition in eV per atom: 0.345
SG: P4/mmm
Raw formation energy in eV/atom: 0.80

Entry 17:
A relaxed structure of Er3Si11Pt23. Source: Alexandria via LeMat-Bulk, functional GGA-PBE.

abc: 12.003 12.003 12.003
angles: 60.00 60.00 60.00
Positions (direct):
Er (0.000, 0.000, 0.500)
Er (0.000, 0.500, 0.000)
Er (0.000, 0.500, 0.500)
Er (0.500, 0.000, 0.000)
Er (0.500, 0.000, 0.500)
Er (0.500, 0.500, 0.000)
Si (0.165, 0.165, 0.165)
Si (0.165, 0.165, 0.504)
Si (0.165, 0.504, 0.165)
Si (0.171, 0.171, 0.829)
Si (0.171, 0.829, 0.171)
Si (0.171, 0.829, 0.829)
Si (0.181, 0.606, 0.606)
Si (0.394, 0.394, 0.394)
Si (0.394, 0.394, 0.819)
Si (0.394, 0.819, 0.394)
Si (0.496, 0.835, 0.835)
Si (0.504, 0.165, 0.165)
Si (0.606, 0.181, 0.606)
Si (0.606, 0.606, 0.181)
Si (0.606, 0.606, 0.606)
Si (0.819, 0.394, 0.394)
Si (0.829, 0.171, 0.171)
Si (0.829, 0.171, 0.829)
Si (0.829, 0.829, 0.171)
Si (0.835, 0.496, 0.835)
Si (0.835, 0.835, 0.496)
Si (0.835, 0.835, 0.835)
Pt (0.075, 0.308, 0.308)
Pt (0.082, 0.422, 0.748)
Pt (0.082, 0.748, 0.422)
Pt (0.082, 0.748, 0.748)
Pt (0.083, 0.083, 0.083)
Pt (0.083, 0.083, 0.751)
Pt (0.083, 0.751, 0.083)
Pt (0.249, 0.917, 0.917)
Pt (0.252, 0.252, 0.578)
Pt (0.252, 0.252, 0.918)
Pt (0.252, 0.578, 0.252)
Pt (0.252, 0.578, 0.918)
Pt (0.252, 0.918, 0.252)
Pt (0.252, 0.918, 0.578)
Pt (0.308, 0.075, 0.308)
Pt (0.308, 0.308, 0.075)
Pt (0.308, 0.308, 0.308)
Pt (0.374, 0.374, 0.626)
Pt (0.374, 0.626, 0.374)
Pt (0.374, 0.626, 0.626)
Pt (0.422, 0.082, 0.748)
Pt (0.422, 0.748, 0.082)
Pt (0.422, 0.748, 0.748)
Pt (0.578, 0.252, 0.252)
Pt (0.578, 0.252, 0.918)
Pt (0.578, 0.918, 0.252)
Pt (0.626, 0.374, 0.374)
Pt (0.626, 0.374, 0.626)
Pt (0.626, 0.626, 0.374)
Pt (0.692, 0.692, 0.692)
Pt (0.692, 0.692, 0.925)
Pt (0.692, 0.925, 0.692)
Pt (0.748, 0.082, 0.422)
Pt (0.748, 0.082, 0.748)
Pt (0.748, 0.422, 0.082)
Pt (0.748, 0.422, 0.748)
Pt (0.748, 0.748, 0.082)
Pt (0.748, 0.748, 0.422)
Pt (0.751, 0.083, 0.083)
Pt (0.917, 0.249, 0.917)
Pt (0.917, 0.917, 0.249)
Pt (0.917, 0.917, 0.917)
Pt (0.918, 0.252, 0.252)
Pt (0.918, 0.252, 0.578)
Pt (0.918, 0.578, 0.252)
Pt (0.925, 0.692, 0.692)

Properties
SG: Fm-3m
Raw formation energy in eV/atom: -0.88

Entry 18:
A relaxed structure of PrEr3H8. Source: Alexandria via LeMat-Bulk, functional GGA-PBE.

abc: 5.212 5.212 5.212
angles: 90.00 90.00 90.00
Positions (direct):
Pr (0.000, 0.000, 0.000)
Er (0.000, 0.500, 0.500)
Er (0.500, 0.000, 0.500)
Er (0.500, 0.500, 0.000)
H (0.261, 0.261, 0.261)
H (0.261, 0.261, 0.739)
H (0.261, 0.739, 0.261)
H (0.261, 0.739, 0.739)
H (0.739, 0.261, 0.261)
H (0.739, 0.261, 0.739)
H (0.739, 0.739, 0.261)
H (0.739, 0.739, 0.739)

Properties
SG: Pm-3m

Entry 19:
A relaxed structure of ZnFeBi3. Source: Alexandria via LeMat-Bulk, functional GGA-PBE.

abc: 5.184 5.184 5.184
angles: 90.00 90.00 90.00
Positions (direct):
Zn (0.000, 0.000, 0.000)
Fe (0.500, 0.500, 0.500)
Bi (0.000, 0.500, 0.500)
Bi (0.500, 0.000, 0.500)
Bi (0.500, 0.500, 0.000)

Properties
Energy relative to the lowest polymorph listed for this composition in eV per atom: 0.000
SG: Pm-3m
Energy of formation from the pure elements in eV/atom: 0.509

Entry 20:
A relaxed structure of LaY4Sc. Source: Alexandria via LeMat-Bulk, functional GGA-PBE.

abc: 6.578 6.578 6.578
angles: 60.00 60.00 60.00
Positions (direct):
La (0.000, 0.000, 0.000)
Y (0.376, 0.376, 0.376)
Y (0.376, 0.376, 0.873)
Y (0.376, 0.873, 0.376)
Y (0.873, 0.376, 0.376)
Sc (0.750, 0.750, 0.750)

Properties
Energy relative to the lowest polymorph listed for this composition in eV per atom: 0.283
SG: F-43m
Energy of formation from the pure elements in eV/atom: 0.332

| no. | VASP energy (eV per atom) |
| --- | --- |
| 1 | -4.44 |
| 2 | -5.56 |
| 3 | -2.81 |
| 4 | -4.71 |
| 5 | -5.12 |
| 6 | -3.60 |
| 7 | -5.37 |
| 8 | -4.78 |
| 9 | -9.04 |
| 10 | -7.77 |
| 11 | -5.19 |
| 12 | -7.91 |
| 13 | -6.02 |
| 14 | -2.89 |
| 15 | -3.02 |
| 16 | -3.94 |
| 17 | -6.61 |
| 18 | -4.47 |
| 19 | -3.77 |
| 20 | -5.85 |